[1]
Sr2LaTl | the Alexandria database | SCAN | PBEsol geometry; ΔE to the lowest computed polymorph = 0.135 eV per atom; energy of formation from the pure elements = -0.59 eV/f.u.; magnetic moment = 0.00 μB/atom; SG = Pmmm (47)
1.0
3.8179 0.0000 0.0000
0.0000 5.2044 0.0000
0.0000 0.0000 7.2013
Sr La Tl
2 1 1
Direct
0.0000 0.0000 0.2334
0.0000 0.0000 0.7666
0.5000 0.5000 0.5000
0.5000 0.5000 0.0000

---

[2]
TaMoOs2 | the Alexandria database | SCAN | PBEsol geometry; ΔE to the lowest computed polymorph = 0.277 eV per atom; energy of formation from the pure elements = 0.84 eV/f.u.; magnetic moment = 0.00 μB/atom; SG = R3m (160)
1.0
1.3828 0.7984 9.2265
-1.3828 0.7984 9.2265
0.0000 -1.5968 9.2265
Ta Mo Os
1 1 2
Direct
0.0000 0.0000 0.0000
0.7572 0.7572 0.7572
0.2490 0.2490 0.2490
0.5031 0.5031 0.5031

---

[3]
Zr2ZnNiRh | the Alexandria database | SCAN | PBEsol geometry; energy of formation from the pure elements = 2.10 eV/f.u.; magnetic moment = 0.00 μB/atom; SG = P4/mmm (123)
1.0
4.8344 0.0000 0.0000
0.0000 4.8344 0.0000
0.0000 0.0000 4.6046
Zr Zn Ni Rh
2 1 1 1
Direct
0.0000 0.5000 0.0000
0.5000 0.0000 0.0000
0.0000 0.0000 0.5000
0.5000 0.5000 0.5000
0.0000 0.0000 0.0000

---

[4]
Li6V3P8O29 | the Alexandria database | SCAN | PBEsol geometry; ΔE to the lowest computed polymorph = 0.000 eV per atom; ΔE_f (raw) = -2.5303 eV/atom; magnetic moment = 0.07 μB/atom; SG = P-3c1 (165)
1.0
9.6803 0.0000 0.0000
-4.8401 8.3834 0.0000
0.0000 0.0000 13.7575
Li V P O
12 6 16 58
Direct
0.0939 0.3241 0.4397
0.0939 0.7697 0.9397
0.2303 0.3241 0.9397
0.2303 0.9061 0.4397
0.3241 0.0939 0.0603
0.3241 0.2303 0.5603
0.6759 0.7697 0.4397
0.6759 0.9061 0.9397
0.7697 0.0939 0.5603
0.7697 0.6759 0.0603
0.9061 0.2303 0.0603
0.9061 0.6759 0.5603
0.0000 0.4311 0.2500
0.0000 0.5689 0.7500
0.4311 0.0000 0.2500
0.4311 0.4311 0.7500
0.5689 0.0000 0.7500
0.5689 0.5689 0.2500
0.0873 0.3198 0.6574
0.0873 0.7675 0.1574
0.2325 0.3198 0.1574
0.2325 0.9127 0.6574
0.3198 0.0873 0.8426
0.3198 0.2325 0.3426
0.3333 0.6667 0.3706
0.3333 0.6667 0.8706
0.6667 0.3333 0.1294
0.6667 0.3333 0.6294
0.6802 0.7675 0.6574
0.6802 0.9127 0.1574
0.7675 0.0873 0.3426
0.7675 0.6802 0.8426
0.9127 0.2325 0.8426
0.9127 0.6802 0.3426
0.0000 0.2089 0.7500
0.0000 0.7911 0.2500
0.0044 0.2454 0.9334
0.0044 0.7590 0.4334
0.0810 0.3336 0.1576
0.0810 0.7474 0.6576
0.0991 0.4815 0.6760
0.0991 0.6176 0.1760
0.1864 0.5104 0.3292
0.1864 0.6760 0.8292
0.2089 0.0000 0.7500
0.2089 0.2089 0.2500
0.2410 0.2454 0.4334
0.2410 0.9956 0.9334
0.2454 0.0044 0.5666
0.2454 0.2410 0.0666
0.2526 0.3336 0.6576
0.2526 0.9190 0.1576
0.3240 0.5104 0.8292
0.3240 0.8136 0.3292
0.3333 0.6667 0.4788
0.3333 0.6667 0.9788
0.3336 0.0810 0.3424
0.3336 0.2526 0.8424
0.3824 0.4815 0.1760
0.3824 0.9009 0.6760
0.4815 0.0991 0.8240
0.4815 0.3824 0.3240
0.4896 0.6760 0.3292
0.4896 0.8136 0.8292
0.5104 0.1864 0.1708
0.5104 0.3240 0.6708
0.5185 0.6176 0.6760
0.5185 0.9009 0.1760
0.6176 0.0991 0.3240
0.6176 0.5185 0.8240
0.6664 0.7474 0.1576
0.6664 0.9190 0.6576
0.6667 0.3333 0.0212
0.6667 0.3333 0.5212
0.6760 0.1864 0.6708
0.6760 0.4896 0.1708
0.7474 0.0810 0.8424
0.7474 0.6664 0.3424
0.7546 0.7590 0.9334
0.7546 0.9956 0.4334
0.7590 0.0044 0.0666
0.7590 0.7546 0.5666
0.7911 0.0000 0.2500
0.7911 0.7911 0.7500
0.8136 0.3240 0.1708
0.8136 0.4896 0.6708
0.9009 0.3824 0.8240
0.9009 0.5185 0.3240
0.9190 0.2526 0.3424
0.9190 0.6664 0.8424
0.9956 0.2410 0.5666
0.9956 0.7546 0.0666

---

[5]
Ta2PtAu | the Alexandria database | SCAN | PBEsol geometry; energy of formation from the pure elements = -1.88 eV/f.u.; magnetic moment = 0.00 μB/atom; SG = Pmmm (47)
1.0
2.8072 0.0000 0.0000
0.0000 4.1327 0.0000
0.0000 0.0000 5.6349
Ta Pt Au
2 1 1
Direct
0.0000 0.0000 0.2449
0.0000 0.0000 0.7551
0.5000 0.5000 0.0000
0.5000 0.5000 0.5000

---

[6]
ZnGaSbPt2 | the Alexandria database | SCAN | PBEsol geometry; ΔE_f (raw) = 0.3750 eV/atom; magnetic moment = 0.00 μB/atom; SG = P4/mmm (123)
1.0
4.6811 0.0000 0.0000
0.0000 4.6811 0.0000
0.0000 0.0000 4.4668
Zn Ga Sb Pt
1 1 1 2
Direct
0.0000 0.0000 0.0000
0.0000 0.0000 0.5000
0.5000 0.5000 0.0000
0.0000 0.5000 0.5000
0.5000 0.0000 0.5000

---

[7]
Cr2CdTc | the Alexandria database | SCAN | PBEsol geometry; energy of formation from the pure elements = 2.08 eV/f.u.; magnetic moment = 0.00 μB/atom; SG = C2/m (12)
1.0
4.4801 -1.3650 0.0000
4.4801 1.3650 0.0000
-0.7638 0.0000 4.8044
Cr Cd Tc
2 1 1
Direct
0.2442 0.2442 0.1731
0.7558 0.7558 0.8269
0.0000 0.0000 0.5000
0.5000 0.5000 0.0000

---

[8]
BaAg3Os | the Alexandria database | SCAN | PBEsol geometry; energy of formation from the pure elements = 12.38 eV/f.u.; magnetic moment = 0.56 μB/atom; SG = Pm-3m (221)
1.0
5.4626 0.0000 0.0000
0.0000 5.4626 0.0000
0.0000 0.0000 5.4626
Ba Ag Os
1 3 1
Direct
0.0000 0.0000 0.0000
0.0000 0.0000 0.5000
0.0000 0.5000 0.0000
0.5000 0.0000 0.0000
0.5000 0.5000 0.5000

---

[9]
SrZn2Pt | the Alexandria database | SCAN | PBEsol geometry; energy of formation from the pure elements = -0.15 eV/f.u.; magnetic moment = 0.00 μB/atom; SG = C2/m (12)
1.0
2.8418 -4.7891 0.0000
2.8418 4.7891 0.0000
-2.6926 0.0000 3.0659
Sr Zn Pt
1 2 1
Direct
0.0000 0.0000 0.0000
0.0000 0.5000 0.5000
0.5000 0.0000 0.5000
0.5000 0.5000 0.0000

---

[10]
FeAs2BrO | the Alexandria database | SCAN | PBEsol geometry; ΔE_f (raw) = 0.4685 eV/atom; magnetic moment = 0.66 μB/atom; SG = P4/mmm (123)
1.0
4.0271 0.0000 0.0000
0.0000 4.0271 0.0000
0.0000 0.0000 5.7500
Fe As Br O
1 2 1 1
Direct
0.0000 0.0000 0.0000
0.0000 0.5000 0.5000
0.5000 0.0000 0.5000
0.5000 0.5000 0.0000
0.5000 0.5000 0.5000

---

[11]
K2LiPrBr6 | the Alexandria database | SCAN | PBEsol geometry; ΔE_f (raw) = -1.9232 eV/atom; magnetic moment = 0.00 μB/atom; SG = Fm-3m (225)
1.0
0.0000 5.4977 5.4977
5.4977 0.0000 5.4977
5.4977 5.4977 0.0000
K Li Pr Br
2 1 1 6
Direct
0.2500 0.2500 0.2500
0.7500 0.7500 0.7500
0.0000 0.0000 0.0000
0.5000 0.5000 0.5000
0.2408 0.2408 0.7592
0.2408 0.7592 0.2408
0.2408 0.7592 0.7592
0.7592 0.2408 0.2408
0.7592 0.2408 0.7592
0.7592 0.7592 0.2408

---

[12]
Y2ScAl2 | the Alexandria database | SCAN | PBEsol geometry; energy of formation from the pure elements = -1.96 eV/f.u.; magnetic moment = 0.02 μB/atom; SG = P4/mbm (127)
1.0
7.5285 0.0000 0.0000
0.0000 7.5285 0.0000
0.0000 0.0000 4.2993
Y Sc Al
4 2 4
Direct
0.1751 0.3249 0.0000
0.3249 0.8249 0.0000
0.6751 0.1751 0.0000
0.8249 0.6751 0.0000
0.0000 0.0000 0.5000
0.5000 0.5000 0.5000
0.1234 0.6234 0.5000
0.3766 0.1234 0.5000
0.6234 0.8766 0.5000
0.8766 0.3766 0.5000